Density functional theory data (GGA+U) for an optimized crystal structure of RbVCoO4.

Output
The calculated total energy is -6.4242 eV/atom. Its magnetization is 0.430 μB per atom. The calculation puts the volume at 17.08 Å³/atom.

a = 5.0686 Å, b = 5.8298 Å, c = 8.4647 Å
α = 90.00°, β = 107.05°, γ = 90.00°
Atoms (fractional coordinates):
Rb  0.1862  0.2500  0.1454
Rb  0.8138  0.7500  0.8546
V  0.3776  0.2500  0.7128
V  0.6224  0.7500  0.2872
Co  0.1235  0.7500  0.5067
Co  0.8765  0.2500  0.4933
O  0.1457  0.0101  0.6704
O  0.1457  0.4899  0.6704
O  0.3967  0.7500  0.0950
O  0.4488  0.7500  0.4341
O  0.5512  0.2500  0.5659
O  0.6033  0.2500  0.9050
O  0.8543  0.5101  0.3296
O  0.8543  0.9899  0.3296